# CaY5 | the Alexandria database | GGA-PBEsol | relaxed
# **VASP energy**: -35.8 eV per cell
# **Energy above the most stable polymorph in this dataset**: 0.017 eV per atom
# **Energy relative to the elements**: 0.068 eV/atom
data_CaY5
_chemical_formula_sum 'Ca1 Y5'
_space_group_name_H-M_alt 'P -6 2 m'
_space_group_IT_number 189
_space_group_name_Hall 'P -6 -2'
_cell_length_a 6.2691
_cell_length_b 6.2691
_cell_length_c 5.6374
_cell_angle_alpha 90.00
_cell_angle_beta 90.00
_cell_angle_gamma 120.00
loop_
_atom_site_label
_atom_site_fract_x
_atom_site_fract_y
_atom_site_fract_z
Ca1 0.0000 0.0000 0.0000
Y1 0.0000 0.6571 0.5000
Y2 0.3333 0.6667 0.0000